Record 1
A plane-wave DFT calculation with GGA+U was carried out for crystalline CoWO4 at its relaxed geometry.

Properties
Volume (Å³/cell): 137.3
Energy (eV/atom): -7.066
Total magnetic moment (μB/cell): 6.00

a b c (Å): 4.719 5.055 5.756
angles (deg): 90.32 90.04 90.79
Sites, in units of the cell vectors:
Co 0.000 0.246 0.339
Co 0.000 0.754 0.661
W 0.499 0.750 0.174
W 0.501 0.250 0.826
O 0.240 0.600 0.375
O 0.243 0.099 0.624
O 0.283 0.069 0.109
O 0.283 0.568 0.890
O 0.717 0.432 0.110
O 0.717 0.931 0.891
O 0.757 0.901 0.376
O 0.760 0.400 0.625

=====

Record 2
A plane-wave DFT calculation with GGA+U was carried out for crystalline CoWO2 at its relaxed geometry.

Properties
Energy above the most stable polymorph in this dataset (meV/atom): 214
Volume (Å³/cell): 216.4
Energy (eV/atom): -6.185
Total magnetic moment (μB/cell): 13.55

a b c (Å): 4.750 4.750 9.590
angles (deg): 90.00 90.00 90.00
Sites, in units of the cell vectors:
Co 0.000 0.000 0.000
Co 0.000 0.500 0.250
Co 0.500 0.000 0.750
Co 0.500 0.500 0.500
W 0.000 0.000 0.500
W 0.000 0.500 0.750
W 0.500 0.000 0.250
W 0.500 0.500 0.000
O 0.248 0.250 0.125
O 0.250 0.748 0.375
O 0.250 0.752 0.875
O 0.252 0.250 0.625
O 0.748 0.750 0.625
O 0.750 0.248 0.875
O 0.750 0.252 0.375
O 0.752 0.750 0.125

=====

Record 3
A plane-wave DFT calculation with GGA+U was carried out for crystalline CoW2O6 at its relaxed geometry.

Properties
Volume (Å³/cell): 311.9
Energy (eV/atom): -7.234
Total magnetic moment (μB/cell): 15.00

a b c (Å): 8.798 8.798 4.652
angles (deg): 90.00 90.00 120.00
Sites, in units of the cell vectors:
Co 0.000 0.000 0.000
Co 0.333 0.667 0.508
Co 0.667 0.333 0.492
W 0.000 0.318 0.500
W 0.000 0.653 0.000
W 0.318 0.000 0.500
W 0.347 0.347 0.000
W 0.653 0.000 0.000
W 0.682 0.682 0.500
O 0.099 0.537 0.734
O 0.113 0.230 0.757
O 0.118 0.887 0.757
O 0.215 0.784 0.274
O 0.216 0.430 0.274
O 0.230 0.113 0.243
O 0.430 0.216 0.726
O 0.438 0.901 0.734
O 0.463 0.562 0.734
O 0.537 0.099 0.266
O 0.562 0.463 0.266
O 0.570 0.785 0.274
O 0.770 0.882 0.757
O 0.784 0.215 0.726
O 0.785 0.570 0.726
O 0.882 0.770 0.243
O 0.887 0.118 0.243
O 0.901 0.438 0.266

=====

Record 4
A plane-wave DFT calculation with GGA+U was carried out for crystalline CoWO2 at its relaxed geometry.

Properties
Energy above the most stable polymorph in this dataset (meV/atom): 892
Volume (Å³/cell): 153.9
Energy (eV/atom): -5.506
Total magnetic moment (μB/cell): 0.00

a b c (Å): 5.359 5.359 5.359
angles (deg): 90.00 90.00 90.00
Sites, in units of the cell vectors:
Co 0.000 0.000 0.000
Co 0.000 0.500 0.500
Co 0.500 0.000 0.500
Co 0.500 0.500 0.000
W 0.000 0.000 0.500
W 0.000 0.500 0.000
W 0.500 0.000 0.000
W 0.500 0.500 0.500
O 0.250 0.250 0.250
O 0.250 0.250 0.750
O 0.250 0.750 0.250
O 0.250 0.750 0.750
O 0.750 0.250 0.250
O 0.750 0.250 0.750
O 0.750 0.750 0.250
O 0.750 0.750 0.750

=====

Record 5
A plane-wave DFT calculation with GGA+U was carried out for crystalline CoWO3 at its relaxed geometry.

Properties
Volume (Å³/cell): 60.3
Energy (eV/atom): -6.370
Total magnetic moment (μB/cell): 2.40

a b c (Å): 3.922 3.922 3.922
angles (deg): 90.00 90.00 90.00
Sites, in units of the cell vectors:
Co 0.000 0.000 0.000
W 0.500 0.500 0.500
O 0.000 0.500 0.500
O 0.500 0.000 0.500
O 0.500 0.500 0.000

=====

Record 6
A plane-wave DFT calculation with GGA+U was carried out for crystalline YCoO3 at its relaxed geometry.

Properties
Volume (Å³/cell): 222.7
Energy (eV/atom): -7.526
Total magnetic moment (μB/cell): 7.97

a b c (Å): 5.774 7.346 5.249
angles (deg): 90.00 90.00 90.00
Sites, in units of the cell vectors:
Y 0.086 0.250 0.024
Y 0.414 0.750 0.524
Y 0.586 0.250 0.476
Y 0.914 0.750 0.976
Co 0.000 0.000 0.500
Co 0.000 0.500 0.500
Co 0.500 0.000 0.000
Co 0.500 0.500 0.000
O 0.031 0.750 0.391
O 0.182 0.551 0.800
O 0.182 0.949 0.800
O 0.318 0.051 0.300
O 0.318 0.449 0.300
O 0.469 0.250 0.891
O 0.531 0.750 0.109
O 0.682 0.551 0.700
O 0.682 0.949 0.700
O 0.818 0.051 0.200
O 0.818 0.449 0.200
O 0.969 0.250 0.609

=====

Record 7
A plane-wave DFT calculation with GGA+U was carried out for crystalline Y3CoO6 at its relaxed geometry.

Properties
Energy above the most stable polymorph in this dataset (meV/atom): 78
Volume (Å³/cell): 275.6
Energy (eV/atom): -8.241
Total magnetic moment (μB/cell): 2.07

a b c (Å): 6.517 6.517 6.517
angles (deg): 93.07 93.07 93.07
Sites, in units of the cell vectors:
Y 0.067 0.579 0.759
Y 0.241 0.933 0.421
Y 0.421 0.241 0.933
Y 0.579 0.759 0.067
Y 0.759 0.067 0.579
Y 0.933 0.421 0.241
Co 0.000 0.000 0.000
Co 0.500 0.500 0.500
O 0.045 0.912 0.695
O 0.088 0.305 0.955
O 0.206 0.572 0.433
O 0.305 0.955 0.088
O 0.428 0.567 0.794
O 0.433 0.206 0.572
O 0.567 0.794 0.428
O 0.572 0.433 0.206
O 0.695 0.045 0.912
O 0.794 0.428 0.567
O 0.912 0.695 0.045
O 0.955 0.088 0.305

=====

Record 8
A plane-wave DFT calculation with GGA+U was carried out for crystalline YCo3O at its relaxed geometry.

Properties
Energy above the most stable polymorph in this dataset (meV/atom): 2135
Volume (Å³/cell): 114.8
Energy (eV/atom): -3.033
Total magnetic moment (μB/cell): 5.98

a b c (Å): 4.860 4.860 4.860
angles (deg): 90.00 90.00 90.00
Sites, in units of the cell vectors:
Y 0.000 0.000 0.000
Co 0.000 0.000 0.500
Co 0.000 0.500 0.000
Co 0.500 0.000 0.000
O 0.500 0.500 0.500

=====

Record 9
A plane-wave DFT calculation with GGA+U was carried out for crystalline YCoO3 at its relaxed geometry.

Properties
Volume (Å³/cell): 50.5
Energy (eV/atom): -7.285
Total magnetic moment (μB/cell): 0.00

a b c (Å): 3.696 3.696 3.696
angles (deg): 90.00 90.00 90.00
Sites, in units of the cell vectors:
Y 0.000 0.000 0.000
Co 0.500 0.500 0.500
O 0.000 0.500 0.500
O 0.500 0.000 0.500
O 0.500 0.500 0.000

=====

Record 10
A plane-wave DFT calculation with GGA+U was carried out for crystalline YCo3O at its relaxed geometry.

Properties
Energy above the most stable polymorph in this dataset (meV/atom): 0
Volume (Å³/cell): 67.7
Energy (eV/atom): -5.168
Total magnetic moment (μB/cell): 4.01

a b c (Å): 4.076 4.076 4.076
angles (deg): 90.00 90.00 90.00
Sites, in units of the cell vectors:
Y 0.000 0.000 0.000
Co 0.000 0.500 0.500
Co 0.500 0.000 0.500
Co 0.500 0.500 0.000
O 0.500 0.500 0.500

=====

Record 11
A plane-wave DFT calculation with GGA+U was carried out for crystalline Y3CoO6 at its relaxed geometry.

Properties
Energy above the most stable polymorph in this dataset (meV/atom): 0
Volume (Å³/cell): 272.4
Energy (eV/atom): -8.318
Total magnetic moment (μB/cell): 8.12

a b c (Å): 7.157 7.157 5.454
angles (deg): 90.00 90.00 102.73
Sites, in units of the cell vectors:
Y 0.102 0.898 0.500
Y 0.195 0.412 0.550
Y 0.412 0.195 0.050
Y 0.588 0.805 0.550
Y 0.805 0.588 0.050
Y 0.898 0.102 0.000
Co 0.313 0.687 0.080
Co 0.687 0.313 0.580
O 0.080 0.607 0.265
O 0.144 0.177 0.277
O 0.177 0.144 0.777
O 0.285 0.715 0.748
O 0.393 0.920 0.265
O 0.458 0.542 0.247
O 0.542 0.458 0.747
O 0.607 0.080 0.765
O 0.715 0.285 0.248
O 0.823 0.856 0.277
O 0.856 0.823 0.777
O 0.920 0.393 0.765

=====

Please write out number 5 again, unchanged.
A plane-wave DFT calculation with GGA+U was carried out for crystalline CoWO3 at its relaxed geometry.

Properties
Volume (Å³/cell): 60.3
Energy (eV/atom): -6.370
Total magnetic moment (μB/cell): 2.40

a b c (Å): 3.922 3.922 3.922
angles (deg): 90.00 90.00 90.00
Sites, in units of the cell vectors:
Co 0.000 0.000 0.000
W 0.500 0.500 0.500
O 0.000 0.500 0.500
O 0.500 0.000 0.500
O 0.500 0.500 0.000

=====

- What is the total magnetic moment in the eighth record?
  5.98 μB/cell

=====

- Look up the volume of the third one.
  311.9 Å³/cell